Run one
Below is a relaxed structure of UHIr, with properties calculated at the PBE level.

Computed properties:
Volume = 15.17 Å³ per atom
Crystal system = trigonal

```
data_UHIr
_chemical_formula_sum 'U1 H1 Ir1'
_space_group_name_H-M_alt 'P 3 m 1'
_space_group_IT_number 156
_space_group_name_Hall 'P 3 -2"'
_cell_length_a 3.7927
_cell_length_b 3.7927
_cell_length_c 3.6539
_cell_angle_alpha 90.00
_cell_angle_beta 90.00
_cell_angle_gamma 120.00
loop_
_atom_site_label
_atom_site_type_symbol
_atom_site_fract_x
_atom_site_fract_y
_atom_site_fract_z
U1 U 0.0000 0.0000 0.0000
H1 H 0.3333 0.6667 0.0027
Ir1 Ir 0.6667 0.3333 0.5008
```

Run two
Below is a relaxed structure of UHIr, with properties calculated at the PBE level.

Computed properties:
Volume = 15.87 Å³ per atom
Crystal system = trigonal

```
data_UHIr
_chemical_formula_sum 'U6 H6 Ir6'
_space_group_name_H-M_alt 'R -3 m'
_space_group_IT_number 166
_space_group_name_Hall '-R 3 2"'
_cell_length_a 3.7258
_cell_length_b 3.7258
_cell_length_c 23.7617
_cell_angle_alpha 90.00
_cell_angle_beta 90.00
_cell_angle_gamma 120.00
loop_
_atom_site_label
_atom_site_type_symbol
_atom_site_fract_x
_atom_site_fract_y
_atom_site_fract_z
U1 U 0.0000 0.0000 0.2282
H1 H 0.0000 0.0000 0.1343
Ir1 Ir 0.0000 0.0000 0.3702
```

Run three
Below is a relaxed structure of UHIr, with properties calculated at the PBE level.

Computed properties:
Volume = 16.83 Å³ per atom
Crystal system = tetragonal

```
data_UHIr
_chemical_formula_sum 'U2 H2 Ir2'
_space_group_name_H-M_alt 'I 4 m m'
_space_group_IT_number 107
_space_group_name_Hall 'I 4 -2'
_cell_length_a 3.814
_cell_length_b 3.814
_cell_length_c 6.943
_cell_angle_alpha 90.00
_cell_angle_beta 90.00
_cell_angle_gamma 90.00
loop_
_atom_site_label
_atom_site_type_symbol
_atom_site_fract_x
_atom_site_fract_y
_atom_site_fract_z
U1 U 0.000 0.000 0.000
H1 H 0.000 0.000 0.684
Ir1 Ir 0.000 0.000 0.444
```

Most stable to least stable: run one, run two, run three

Run one
Below is a relaxed structure of V2HIr, with properties calculated at the PBE level.

Computed properties:
Volume = 11.48 Å³ per atom
Crystal system = tetragonal

```
data_V2HIr
_chemical_formula_sum 'V8 H4 Ir4'
_space_group_name_H-M_alt 'I 41/a m d'
_space_group_IT_number 141
_cell_length_a 5.070
_cell_length_b 5.070
_cell_length_c 7.142
_cell_angle_alpha 90.00
_cell_angle_beta 90.00
_cell_angle_gamma 90.00
loop_
_space_group_symop_operation_xyz
'x,y,z'
'-x,-y,-z'
'-y+1/4,x+3/4,z+1/4'
'y+1/4,-x+3/4,-z+1/4'
'-x+1/2,-y,z+1/2'
'x+1/2,y,-z+1/2'
'y+1/4,-x+1/4,z+3/4'
'-y+1/4,x+1/4,-z+3/4'
'x,-y,-z'
'-x,y,z'
'-y+1/4,-x+1/4,-z+3/4'
'y+1/4,x+1/4,z+3/4'
'-x+1/2,y,-z+1/2'
'x+1/2,-y,z+1/2'
'y+1/4,x+3/4,-z+1/4'
'-y+1/4,-x+3/4,z+1/4'
'x+1/2,y+1/2,z+1/2'
'-x+1/2,-y+1/2,-z+1/2'
'-y+3/4,x+1/4,z+3/4'
'y+3/4,-x+1/4,-z+3/4'
'-x,-y+1/2,z'
'x,y+1/2,-z'
'y+3/4,-x+3/4,z+1/4'
'-y+3/4,x+3/4,-z+1/4'
'x+1/2,-y+1/2,-z+1/2'
'-x+1/2,y+1/2,z+1/2'
'-y+3/4,-x+3/4,-z+1/4'
'y+3/4,x+3/4,z+1/4'
'-x,y+1/2,-z'
'x,-y+1/2,z'
'y+3/4,x+1/4,-z+3/4'
'-y+3/4,-x+1/4,z+3/4'
loop_
_atom_site_label
_atom_site_type_symbol
_atom_site_fract_x
_atom_site_fract_y
_atom_site_fract_z
V1 V 0.000 0.000 0.000
H1 H 0.000 0.250 0.875
Ir1 Ir 0.000 0.250 0.375
```

Run two
Below is a relaxed structure of V2HIr, with properties calculated at the PBE level.

Computed properties:
Volume = 17.14 Å³ per atom
Crystal system = trigonal

```
data_V2HIr
_chemical_formula_sum 'V6 H3 Ir3'
_space_group_name_H-M_alt 'R -3 m'
_space_group_IT_number 166
_space_group_name_Hall '-R 3 2"'
_cell_length_a 3.7807
_cell_length_b 3.7807
_cell_length_c 16.6139
_cell_angle_alpha 90.00
_cell_angle_beta 90.00
_cell_angle_gamma 120.00
loop_
_atom_site_label
_atom_site_type_symbol
_atom_site_fract_x
_atom_site_fract_y
_atom_site_fract_z
V1 V 0.0000 0.0000 0.1037
H1 H 0.0000 0.0000 0.0000
Ir1 Ir 0.0000 0.0000 0.5000
```

Most stable to least stable: run one, run two

Run one
Below is a relaxed structure of VHIr3, with properties calculated at the PBE level.

Computed properties:
Volume = 11.89 Å³ per atom
Crystal system = cubic

```
data_VHIr3
_chemical_formula_sum 'V1 H1 Ir3'
_space_group_name_H-M_alt 'P m -3 m'
_space_group_IT_number 221
_space_group_name_Hall '-P 4 2 3'
_cell_length_a 3.903
_cell_length_b 3.903
_cell_length_c 3.903
_cell_angle_alpha 90.00
_cell_angle_beta 90.00
_cell_angle_gamma 90.00
loop_
_atom_site_label
_atom_site_type_symbol
_atom_site_fract_x
_atom_site_fract_y
_atom_site_fract_z
V1 V 0.000 0.000 0.000
H1 H 0.500 0.500 0.500
Ir1 Ir 0.000 0.500 0.500
```

Run two
Below is a relaxed structure of VHIr3, with properties calculated at the PBE level.

Computed properties:
Volume = 18.51 Å³ per atom
Crystal system = cubic

```
data_VHIr3
_chemical_formula_sum 'V1 H1 Ir3'
_space_group_name_H-M_alt 'P m -3 m'
_space_group_IT_number 221
_space_group_name_Hall '-P 4 2 3'
_cell_length_a 4.524
_cell_length_b 4.524
_cell_length_c 4.524
_cell_angle_alpha 90.00
_cell_angle_beta 90.00
_cell_angle_gamma 90.00
loop_
_atom_site_label
_atom_site_type_symbol
_atom_site_fract_x
_atom_site_fract_y
_atom_site_fract_z
V1 V 0.000 0.000 0.000
H1 H 0.500 0.500 0.500
Ir1 Ir 0.000 0.000 0.500
```

Most stable to least stable: run one, run two

Run one
Below is a relaxed structure of V2HIrW, with properties calculated at the PBE level.

Computed properties:
Volume = 11.93 Å³ per atom
Crystal system = tetragonal

```
data_V2HIrW
_chemical_formula_sum 'V2 H1 Ir1 W1'
_space_group_name_H-M_alt 'P 4/m m m'
_space_group_IT_number 123
_space_group_name_Hall '-P 4 2'
_cell_length_a 3.906
_cell_length_b 3.906
_cell_length_c 3.909
_cell_angle_alpha 90.00
_cell_angle_beta 90.00
_cell_angle_gamma 90.00
loop_
_atom_site_label
_atom_site_type_symbol
_atom_site_fract_x
_atom_site_fract_y
_atom_site_fract_z
V1 V 0.000 0.500 0.000
H1 H 0.000 0.000 0.000
Ir1 Ir 0.500 0.500 0.500
W1 W 0.000 0.000 0.500
```

Run two
Below is a relaxed structure of V2HIrW, with properties calculated at the PBE level.

Computed properties:
Volume = 12.00 Å³ per atom
Crystal system = tetragonal

```
data_V2HIrW
_chemical_formula_sum 'V2 H1 Ir1 W1'
_space_group_name_H-M_alt 'P 4/m m m'
_space_group_IT_number 123
_space_group_name_Hall '-P 4 2'
_cell_length_a 4.092
_cell_length_b 4.092
_cell_length_c 3.584
_cell_angle_alpha 90.00
_cell_angle_beta 90.00
_cell_angle_gamma 90.00
loop_
_atom_site_label
_atom_site_type_symbol
_atom_site_fract_x
_atom_site_fract_y
_atom_site_fract_z
V1 V 0.000 0.500 0.000
H1 H 0.000 0.000 0.000
Ir1 Ir 0.000 0.000 0.500
W1 W 0.500 0.500 0.500
```

Most stable to least stable: run one, run two